Computed, not measured: a relaxed CsInTe3Pd crystal at the PBE level of DFT.

**Raw total energy**: -3.47 eV per atom

Geometry as CIF:
```
data_CsInTe3Pd
_space_group_name_H-M_alt 'P 1 21/m 1'
_space_group_IT_number 11
_cell_length_a 10.236
_cell_length_b 4.266
_cell_length_c 10.936
_cell_angle_alpha 90.00
_cell_angle_beta 110.89
_cell_angle_gamma 90.00
loop_
_space_group_symop_operation_xyz
'x,y,z'
'-x,-y,-z'
'-x,y+1/2,-z'
'x,-y+1/2,z'
loop_
_atom_site_label
_atom_site_fract_x
_atom_site_fract_y
_atom_site_fract_z
Cs1 0.219 0.250 0.247
In1 0.330 0.750 0.901
Te1 0.119 0.250 0.864
Te2 0.188 0.750 0.530
Te3 0.497 0.250 0.825
Pd1 0.083 0.250 0.604
```